Here is ThAl2Fe2Si after structural relaxation from Alexandria. Energies are from GGA-PBE.

E_tot   -6.492 eV per atom
Space group   P4/mmm

Cell and atoms, written as POSCAR:
```
ThAl2Fe2Si
1.0
4.293 0.000 0.000
0.000 4.293 0.000
0.000 0.000 5.676
Th Al Fe Si
1 2 2 1
Cartesian
0.000 0.000 0.000
2.147 2.147 1.413
2.147 2.147 4.263
0.000 2.147 2.838
2.147 0.000 2.838
0.000 0.000 2.838
```